(1)
VASP calculation (PBE-GGA) on a relaxed SmTm3Th4S8 crystal.

Geometry as CIF:
```
data_SmTm3Th4S8
_chemical_formula_sum 'Sm3 Tm9 Th12 S24'
_space_group_name_H-M_alt 'R -3 m'
_space_group_IT_number 166
_space_group_name_Hall '-R 3 2"'
_cell_length_a 7.7788
_cell_length_b 7.7788
_cell_length_c 20.1733
_cell_angle_alpha 90.00
_cell_angle_beta 90.00
_cell_angle_gamma 120.00
loop_
_atom_site_label
_atom_site_fract_x
_atom_site_fract_y
_atom_site_fract_z
_atom_site_occupancy
Sm1 0.0000 0.0000 0.0000 1
Tm1 0.0000 0.5000 0.0000 1
Th1 0.0000 0.0000 0.5000 1
Th2 0.0000 0.5000 0.5000 1
S1 0.0000 0.0000 0.2573 1
S2 0.0069 0.5035 0.2558 1
```

Computed properties:
- density (g/cm3) = 8.68
- M_tot (μB/atom) = 0.000
- formation energy (no corrections) (eV/f.u.) = -30.30

***

(2)
VASP calculation (PBE-GGA) on a relaxed ZrScAgIr crystal.

Geometry as CIF:
```
data_ZrScAgIr
_chemical_formula_sum 'Zr4 Sc4 Ag4 Ir4'
_space_group_name_H-M_alt 'F -4 3 m'
_space_group_IT_number 216
_space_group_name_Hall 'F -4 2 3'
_cell_length_a 6.691
_cell_length_b 6.691
_cell_length_c 6.691
_cell_angle_alpha 90.00
_cell_angle_beta 90.00
_cell_angle_gamma 90.00
loop_
_atom_site_label
_atom_site_fract_x
_atom_site_fract_y
_atom_site_fract_z
_atom_site_occupancy
Zr1 0.000 0.000 0.000 1
Sc1 0.000 0.000 0.500 1
Ag1 0.250 0.250 0.250 1
Ir1 0.250 0.250 0.750 1
```

Computed properties:
- density (g/cm3) = 9.67
- M_tot (μB/atom) = 0.000
- E_form (meV/atom) = -533.9

***

(3)
VASP calculation (PBE-GGA) on a relaxed V4GaGe crystal.

Geometry as CIF:
```
data_V4GaGe
_chemical_formula_sum 'V16 Ga4 Ge4'
_space_group_name_H-M_alt 'P 1 21/c 1'
_space_group_IT_number 14
_cell_length_a 2.663
_cell_length_b 12.680
_cell_length_c 10.193
_cell_angle_alpha 90.00
_cell_angle_beta 103.06
_cell_angle_gamma 90.00
loop_
_space_group_symop_operation_xyz
'x,y,z'
'-x,-y,-z'
'-x,y+1/2,-z+1/2'
'x,-y+1/2,z+1/2'
loop_
_atom_site_label
_atom_site_fract_x
_atom_site_fract_y
_atom_site_fract_z
_atom_site_occupancy
V1 0.055 0.072 0.162 1
V2 0.095 0.085 0.667 1
V3 0.171 0.740 0.223 1
V4 0.292 0.249 0.048 1
Ga1 0.499 0.589 0.083 1
Ge1 0.425 0.602 0.591 1
```

Computed properties:
- density (g/cm3) = 6.86
- M_tot (μB/atom) = 0.000
- E_form (meV/atom) = -162.2